Below is a geometry-optimized Rb2ReBiS6 structure, with properties calculated at the GGA-PBE level.

abc: 7.2156 7.2156 7.2156
angles: 60.00 60.00 60.00
Positions (direct):
Bi (0.5000, 0.5000, 0.5000)
Rb (0.2500, 0.2500, 0.2500)
Rb (0.7500, 0.7500, 0.7500)
Re (0.0000, 0.0000, 0.0000)
S (0.7693, 0.2307, 0.2307)
S (0.2307, 0.7693, 0.2307)
S (0.7693, 0.7693, 0.2307)
S (0.7693, 0.2307, 0.7693)
S (0.2307, 0.7693, 0.7693)
S (0.2307, 0.2307, 0.7693)

Computed properties:
- space-group type = Fm-3m (225)
- VASP energy (eV per cell) = -46.28

***

Below is a geometry-optimized RbZnBiSe3 structure, with properties calculated at the GGA-PBE level.

abc: 8.0080 8.0080 11.2670
angles: 90.00 90.00 149.28
Positions (direct):
Bi (0.5000, 0.5000, 0.0000)
Bi (0.5000, 0.5000, 0.5000)
Rb (0.7585, 0.2415, 0.2500)
Rb (0.2415, 0.7585, 0.7500)
Se (0.1259, 0.8741, 0.0633)
Se (0.4431, 0.5569, 0.2500)
Se (0.1259, 0.8741, 0.4367)
Se (0.8741, 0.1259, 0.5633)
Se (0.5569, 0.4431, 0.7500)
Se (0.8741, 0.1259, 0.9367)
Zn (0.0423, 0.9577, 0.2500)
Zn (0.9577, 0.0423, 0.7500)

Computed properties:
- space-group type = Cmcm (63)
- VASP energy (eV per cell) = -42.50

***

Below is a geometry-optimized Rb2ZnBi2Se5 structure, with properties calculated at the GGA-PBE level.

abc: 4.2834 15.9421 18.9394
angles: 90.00 90.00 90.00
Positions (direct):
Bi (0.2500, 0.2524, 0.0168)
Bi (0.7500, 0.2059, 0.1985)
Bi (0.7500, 0.7059, 0.3015)
Bi (0.2500, 0.7524, 0.4832)
Bi (0.7500, 0.2476, 0.5168)
Bi (0.2500, 0.2941, 0.6985)
Bi (0.2500, 0.7941, 0.8015)
Bi (0.7500, 0.7476, 0.9832)
Rb (0.2500, 0.9606, 0.1161)
Rb (0.7500, 0.4949, 0.1230)
Rb (0.7500, 0.9949, 0.3770)
Rb (0.2500, 0.4606, 0.3839)
Rb (0.7500, 0.5394, 0.6161)
Rb (0.2500, 0.0051, 0.6230)
Rb (0.2500, 0.5051, 0.8770)
Rb (0.7500, 0.0394, 0.8839)
Se (0.2500, 0.6319, 0.0269)
Se (0.7500, 0.1275, 0.0598)
Se (0.2500, 0.3237, 0.1516)
Se (0.7500, 0.7902, 0.1552)
Se (0.2500, 0.5976, 0.2432)
Se (0.2500, 0.0976, 0.2568)
Se (0.7500, 0.2902, 0.3448)
Se (0.2500, 0.8237, 0.3484)
Se (0.7500, 0.6275, 0.4402)
Se (0.2500, 0.1319, 0.4731)
Se (0.7500, 0.8681, 0.5269)
Se (0.2500, 0.3725, 0.5598)
Se (0.7500, 0.1763, 0.6516)
Se (0.2500, 0.7098, 0.6552)
Se (0.7500, 0.9024, 0.7432)
Se (0.7500, 0.4024, 0.7568)
Se (0.2500, 0.2098, 0.8448)
Se (0.7500, 0.6763, 0.8484)
Se (0.2500, 0.8725, 0.9402)
Se (0.7500, 0.3681, 0.9731)
Zn (0.2500, 0.7026, 0.1439)
Zn (0.2500, 0.2026, 0.3561)
Zn (0.7500, 0.7974, 0.6439)
Zn (0.7500, 0.2974, 0.8561)

Computed properties:
- space-group type = Pnma (62)
- VASP energy (eV per cell) = -146.19

***

Question: What is the formula in the third record?
Answer: Rb2ZnBi2Se5

***

Question: Which value of VASP energy does entry 3 give?
Answer: -146.19 eV per cell

***

Question: Which of these has the highest VASP energy?
Answer: RbZnBiSe3

***

Question: Among the records above, which one has the lowest VASP energy?
Answer: Rb2ZnBi2Se5